Entry 1:
A relaxed La2Ti3O9 crystal, computed with PBE-GGA.

a = 5.844 Å, b = 8.104 Å, c = 8.911 Å
α = 108.39°, β = 107.70°, γ = 90.30°
Fractional positions:
1 La 0.116 0.188 0.216
2 La 0.203 0.821 0.427
3 La 0.797 0.179 0.573
4 La 0.884 0.812 0.784
5 Ti 0.239 0.526 0.007
6 Ti 0.340 0.494 0.652
7 Ti 0.423 0.080 0.853
8 Ti 0.577 0.920 0.147
9 Ti 0.660 0.506 0.348
10 Ti 0.761 0.474 0.993
11 O 0.002 0.332 0.950
12 O 0.116 0.007 0.690
13 O 0.130 0.312 0.496
14 O 0.161 0.570 0.796
15 O 0.284 0.996 0.002
16 O 0.356 0.558 0.245
17 O 0.423 0.977 0.313
18 O 0.434 0.676 0.602
19 O 0.444 0.323 0.936
20 O 0.556 0.677 0.064
21 O 0.566 0.324 0.398
22 O 0.577 0.023 0.687
23 O 0.644 0.442 0.755
24 O 0.716 0.004 0.998
25 O 0.839 0.430 0.204
26 O 0.870 0.688 0.504
27 O 0.884 0.993 0.310
28 O 0.998 0.668 0.050

Total energy = -8.83 eV/atom
M_tot = 0.000 μB per atom
Polymorph energy (0 for the lowest one) = 0.000 eV/atom

=====

Entry 2:
A relaxed Cs6Rb2NaO crystal, computed with PBE-GGA.

a = 9.926 Å, b = 9.936 Å, c = 10.278 Å
α = 66.15°, β = 66.09°, γ = 89.05°
Fractional positions:
1 Cs 0.000 0.000 0.000
2 Cs 0.005 0.410 0.960
3 Cs 0.347 0.342 0.582
4 Cs 0.395 0.390 0.988
5 Cs 0.409 0.000 0.962
6 Cs 0.929 0.928 0.569
7 Rb 0.483 0.888 0.458
8 Rb 0.894 0.483 0.455
9 Na 0.657 0.654 0.129
10 O 0.231 0.228 0.907

Total energy = -1.61 eV/atom
M_tot = 0.000 μB per atom

=====

Entry 3:
A relaxed Rb2Tl6CdPd crystal, computed with PBE-GGA.

a = 14.023 Å, b = 14.023 Å, c = 14.023 Å
α = 32.03°, β = 32.03°, γ = 32.03°
Fractional positions:
1 Rb 0.103 0.103 0.103
2 Rb 0.277 0.277 0.277
3 Rb 0.723 0.723 0.723
4 Rb 0.897 0.897 0.897
5 Tl 0.084 0.666 0.666
6 Tl 0.220 0.220 0.647
7 Tl 0.220 0.647 0.220
8 Tl 0.334 0.334 0.916
9 Tl 0.334 0.916 0.334
10 Tl 0.353 0.780 0.780
11 Tl 0.647 0.220 0.220
12 Tl 0.666 0.084 0.666
13 Tl 0.666 0.666 0.084
14 Tl 0.780 0.353 0.780
15 Tl 0.780 0.780 0.353
16 Tl 0.916 0.334 0.334
17 Cd 0.427 0.427 0.427
18 Cd 0.573 0.573 0.573
19 Pd 0.000 0.000 0.000
20 Pd 0.500 0.500 0.500

Total energy = -2.28 eV/atom
E_form = -5.0 kJ/mol of atoms
M_tot = 0.000 μB per atom

=====

Entry 4:
A relaxed Ba3HfAl crystal, computed with PBE-GGA.

a = 6.409 Å, b = 6.409 Å, c = 6.409 Å
α = 90.00°, β = 90.00°, γ = 90.00°
Fractional positions:
1 Ba 0.000 0.000 0.500
2 Ba 0.000 0.500 0.000
3 Ba 0.500 0.000 0.000
4 Hf 0.500 0.500 0.500
5 Al 0.000 0.000 0.000

Total energy = -2.97 eV/atom
E_form = 88.8 kJ/mol of atoms
M_tot = 0.730 μB per atom
Polymorph energy (0 for the lowest one) = 0.000 eV/atom

=====

Entry 5:
A relaxed EuHRh crystal, computed with PBE-GGA.

a = 3.537 Å, b = 3.663 Å, c = 3.682 Å
α = 90.00°, β = 90.00°, γ = 90.00°
Fractional positions:
1 Eu 0.000 0.000 0.000
2 H 0.000 0.500 0.500
3 Rh 0.500 0.500 0.500

Total energy = -7.46 eV/atom
M_tot = 2.273 μB per atom
Polymorph energy (0 for the lowest one) = 0.000 eV/atom

=====

Entry 6:
A relaxed Zr2NbRuF crystal, computed with PBE-GGA.

a = 5.071 Å, b = 5.071 Å, c = 3.980 Å
α = 90.00°, β = 90.00°, γ = 90.00°
Fractional positions:
1 Zr 0.000 0.500 0.000
2 Zr 0.500 0.000 0.000
3 Nb 0.000 0.000 0.500
4 Ru 0.500 0.500 0.000
5 F 0.500 0.500 0.500

Total energy = -7.40 eV/atom
M_tot = 0.000 μB per atom

=====

Entry 7:
A relaxed Ni2OsSe crystal, computed with PBE-GGA.

a = 6.717 Å, b = 6.717 Å, c = 4.923 Å
α = 90.00°, β = 90.00°, γ = 90.00°
Fractional positions:
1 Ni 0.229 0.750 0.125
2 Ni 0.250 0.229 0.875
3 Ni 0.250 0.271 0.375
4 Ni 0.271 0.750 0.625
5 Ni 0.729 0.250 0.625
6 Ni 0.750 0.729 0.375
7 Ni 0.750 0.771 0.875
8 Ni 0.771 0.250 0.125
9 Os 0.000 0.000 0.500
10 Os 0.000 0.500 0.750
11 Os 0.500 0.000 0.250
12 Os 0.500 0.500 0.000
13 Se 0.000 0.000 0.000
14 Se 0.000 0.500 0.250
15 Se 0.500 0.000 0.750
16 Se 0.500 0.500 0.500

Total energy = -6.09 eV/atom
M_tot = 0.068 μB per atom

=====

Entry 8:
A relaxed AcTbPm2Tl4 crystal, computed with PBE-GGA.

a = 9.681 Å, b = 9.681 Å, c = 9.681 Å
α = 33.36°, β = 33.36°, γ = 33.36°
Fractional positions:
1 Ac 0.000 0.000 0.000
2 Tb 0.500 0.500 0.500
3 Pm 0.249 0.249 0.249
4 Pm 0.751 0.751 0.751
5 Tl 0.128 0.128 0.128
6 Tl 0.380 0.380 0.380
7 Tl 0.620 0.620 0.620
8 Tl 0.872 0.872 0.872

Total energy = -3.81 eV/atom
E_form = -33.2 kJ/mol of atoms
M_tot = 0.000 μB per atom

=====

Entry 9:
A relaxed Nd8As4S3 crystal, computed with PBE-GGA.

a = 8.340 Å, b = 8.340 Å, c = 8.326 Å
α = 119.86°, β = 119.86°, γ = 90.09°
Fractional positions:
1 Nd 0.246 0.246 0.495
2 Nd 0.249 0.249 0.997
3 Nd 0.249 0.751 0.000
4 Nd 0.250 0.750 0.500
5 Nd 0.750 0.250 0.500
6 Nd 0.751 0.249 0.000
7 Nd 0.751 0.751 0.003
8 Nd 0.754 0.754 0.505
9 As 0.000 0.000 0.000
10 As 0.000 0.500 0.000
11 As 0.500 0.000 0.000
12 As 0.500 0.500 0.500
13 S 0.000 0.000 0.500
14 S 0.000 0.500 0.500
15 S 0.500 0.000 0.500

Total energy = -6.23 eV/atom
M_tot = 0.000 μB per atom

=====

Entry 10:
A relaxed ScTlP2O crystal, computed with PBE-GGA.

a = 4.228 Å, b = 4.228 Å, c = 4.909 Å
α = 90.00°, β = 90.00°, γ = 90.00°
Fractional positions:
1 Sc 0.000 0.000 0.000
2 Tl 0.500 0.500 0.000
3 P 0.000 0.500 0.500
4 P 0.500 0.000 0.500
5 O 0.500 0.500 0.500

Total energy = -4.89 eV/atom
M_tot = 0.000 μB per atom
Polymorph energy (0 for the lowest one) = 0.389 eV/atom

=====

Entry 11:
A relaxed Tb4DyTl5 crystal, computed with PBE-GGA.

a = 3.772 Å, b = 3.772 Å, c = 19.367 Å
α = 90.00°, β = 90.00°, γ = 90.00°
Fractional positions:
1 Tb 0.000 0.000 0.100
2 Tb 0.000 0.000 0.301
3 Tb 0.000 0.000 0.699
4 Tb 0.000 0.000 0.900
5 Dy 0.000 0.000 0.500
6 Tl 0.500 0.500 0.000
7 Tl 0.500 0.500 0.201
8 Tl 0.500 0.500 0.401
9 Tl 0.500 0.500 0.599
10 Tl 0.500 0.500 0.799

Total energy = -3.85 eV/atom
E_form = -33.9 kJ/mol of atoms
M_tot = 0.000 μB per atom

=====

Entry 12:
A relaxed MgNbAu crystal, computed with PBE-GGA.

a = 4.778 Å, b = 3.520 Å, c = 6.935 Å
α = 90.00°, β = 109.44°, γ = 90.00°
Fractional positions:
1 Mg 0.000 0.000 0.000
2 Mg 0.321 0.000 0.641
3 Nb 0.503 0.500 0.006
4 Nb 0.652 0.000 0.309
5 Au 0.155 0.500 0.318
6 Au 0.840 0.500 0.677

Total energy = -5.13 eV/atom
E_form = -14.4 kJ/mol of atoms
M_tot = 0.000 μB per atom